Record 1
Computed, not measured: Ti2CuSiPb after structural relaxation at the PBE-GGA level of DFT.

Properties
formation energy from raw total energies	0.73	eV/atom
crystal system	tetragonal

abc: 4.6748 4.6748 5.2007
angles: 90.00 90.00 90.00
Space group P4/mmm (No. 123)
One atom of each set of equivalent atoms:
Ti: 0.0000 0.5000 0.0000 (multiplicity 2)
Cu: 0.0000 0.0000 0.5000 (multiplicity 1)
Si: 0.5000 0.5000 0.0000 (multiplicity 1)
Pb: 0.5000 0.5000 0.5000 (multiplicity 1)

---

Record 2
Computed, not measured: HfNbSe3 after structural relaxation at the PBE-GGA level of DFT.

Properties
formation energy from raw total energies	0.15	eV/atom
crystal system	cubic

abc: 4.9879 4.9879 4.9879
angles: 90.00 90.00 90.00
Space group Pm-3m (No. 221)
One atom of each set of equivalent atoms:
Hf: 0.0000 0.0000 0.0000 (multiplicity 1)
Nb: 0.5000 0.5000 0.5000 (multiplicity 1)
Se: 0.0000 0.5000 0.5000 (multiplicity 3)

---

Record 3
Computed, not measured: KInPbO3 after structural relaxation at the PBE-GGA level of DFT.

Properties
formation energy from raw total energies	-1.33	eV/atom
crystal system	monoclinic

abc: 7.0162 3.3159 10.2981
angles: 90.00 93.98 90.00
Space group P2_1/m (No. 11)
One atom of each set of equivalent atoms:
K: 0.1322 0.2500 0.1959 (multiplicity 2)
In: 0.3732 0.7500 0.8909 (multiplicity 2)
Pb: 0.2104 0.2500 0.5631 (multiplicity 2)
O: 0.1120 0.7500 0.4193 (multiplicity 2)
O: 0.1905 0.2500 0.8276 (multiplicity 2)
O: 0.4083 0.7500 0.1023 (multiplicity 2)